Version one
Here is a relaxed TaHIrRu2 crystal from the Alexandria database. Energies are from PBE.

Its crystal system is tetragonal.

Cell lengths 4.8102, 4.8102, 3.1557 Å; angles 90.00, 90.00, 90.00 degrees
Closest atoms and distances in Å follow each position.
Element x y z (fractional)
Ta1 0.0000 0.0000 0.0000  2 H 1.58
H1 0.0000 0.0000 0.5000  2 Ta 1.58
Ir1 0.5000 0.5000 0.5000  8 Ru 2.88, 2 Ir 3.16
Ru1 0.0000 0.5000 0.0000  2 Ta 2.41
Ru2 0.5000 0.0000 0.0000  2 Ta 2.41

---

Version two
Here is a relaxed TaHIrRu2 crystal from the Alexandria database. Energies are from PBE.

Its crystal system is tetragonal.

Cell lengths 3.9063, 3.9063, 4.0402 Å; angles 90.00, 90.00, 90.00 degrees
Closest atoms and distances in Å follow each position.
Element x y z (fractional)
Ta1 0.0000 0.0000 0.0000  2 H 2.02
H1 0.0000 0.0000 0.5000  4 Ru 1.95, 2 Ta 2.02
Ir1 0.5000 0.5000 0.0000  4 Ta 2.76, 8 Ru 2.81
Ru1 0.0000 0.5000 0.5000  2 H 1.95
Ru2 0.5000 0.0000 0.5000  2 H 1.95

---

Version three
Here is a relaxed TaHIrRu2 crystal from the Alexandria database. Energies are from PBE.

Its crystal system is tetragonal.

Cell lengths 3.9608, 3.9608, 3.9290 Å; angles 90.00, 90.00, 90.00 degrees
Closest atoms and distances in Å follow each position.
Element x y z (fractional)
Ta1 0.0000 0.0000 0.0000  8 Ru 2.79, 4 Ir 2.80
H1 0.5000 0.5000 0.5000  2 Ir 1.96, 4 Ru 1.98
Ir1 0.5000 0.5000 0.0000  2 H 1.96
Ru1 0.0000 0.5000 0.5000  2 H 1.98
Ru2 0.5000 0.0000 0.5000  2 H 1.98

---

Which of them is the least stable? Correct choice: version one.

---

Version one
Here is a relaxed TaHIr2Ru crystal from the Alexandria database. Energies are from PBE.

Its crystal system is tetragonal.

Cell lengths 3.9397, 3.9397, 4.0059 Å; angles 90.00, 90.00, 90.00 degrees
Closest atoms and distances in Å follow each position.
Element x y z (fractional)
Ta1 0.0000 0.0000 0.0000  4 Ru 2.79, 8 Ir 2.81
H1 0.5000 0.5000 0.5000  4 Ir 1.97, 2 Ru 2.00
Ir1 0.0000 0.5000 0.5000  2 H 1.97
Ir2 0.5000 0.0000 0.5000  2 H 1.97
Ru1 0.5000 0.5000 0.0000  2 H 2.00

---

Version two
Here is a relaxed TaHIr2Ru crystal from the Alexandria database. Energies are from PBE.

Its crystal system is tetragonal.

Cell lengths 3.9017, 3.9017, 4.1024 Å; angles 90.00, 90.00, 90.00 degrees
Closest atoms and distances in Å follow each position.
Element x y z (fractional)
Ta1 0.0000 0.0000 0.0000  2 H 2.05
H1 0.0000 0.0000 0.5000  4 Ir 1.95, 2 Ta 2.05
Ir1 0.0000 0.5000 0.5000  2 H 1.95
Ir2 0.5000 0.0000 0.5000  2 H 1.95
Ru1 0.5000 0.5000 0.0000  4 Ta 2.76, 8 Ir 2.83

---

Which of them is the least stable? Correct choice: version two.

---

Version one
Here is a relaxed Ta2HIrRu crystal from the Alexandria database. Energies are from PBE.

Its crystal system is tetragonal.

Cell lengths 4.1745, 4.1745, 3.7982 Å; angles 90.00, 90.00, 90.00 degrees
Closest atoms and distances in Å follow each position.
Element x y z (fractional)
Ta1 0.0000 0.5000 0.0000  2 H 2.09
Ta2 0.5000 0.0000 0.0000  2 H 2.09
H1 0.0000 0.0000 0.0000  2 Ru 1.90, 4 Ta 2.09
Ir1 0.5000 0.5000 0.5000  8 Ta 2.82, 4 Ru 2.95
Ru1 0.0000 0.0000 0.5000  2 H 1.90

---

Version two
Here is a relaxed Ta2HIrRu crystal from the Alexandria database. Energies are from PBE.

Its crystal system is tetragonal.

Cell lengths 4.1646, 4.1646, 3.8293 Å; angles 90.00, 90.00, 90.00 degrees
Closest atoms and distances in Å follow each position.
Element x y z (fractional)
Ta1 0.0000 0.5000 0.0000  2 H 2.08
Ta2 0.5000 0.0000 0.0000  2 H 2.08
H1 0.0000 0.0000 0.0000  2 Ir 1.91, 4 Ta 2.08
Ir1 0.0000 0.0000 0.5000  2 H 1.91
Ru1 0.5000 0.5000 0.5000  8 Ta 2.83, 4 Ir 2.94

---

Which of them is the least stable? Correct choice: version two.

---

Version one
Here is a relaxed Ti2HIrRu crystal from the Alexandria database. Energies are from PBE.

Its crystal system is tetragonal.

Cell lengths 4.2062, 4.2062, 3.5378 Å; angles 90.00, 90.00, 90.00 degrees
Closest atoms and distances in Å follow each position.
Element x y z (fractional)
Ti1 0.0000 0.5000 0.0000  2 H 2.10
Ti2 0.5000 0.0000 0.0000  2 H 2.10
H1 0.0000 0.0000 0.0000  2 Ir 1.77
Ir1 0.0000 0.0000 0.5000  2 H 1.77
Ru1 0.5000 0.5000 0.5000  8 Ti 2.75, 4 Ir 2.97

---

Version two
Here is a relaxed Ti2HIrRu crystal from the Alexandria database. Energies are from PBE.

Its crystal system is tetragonal.

Cell lengths 4.2049, 4.2049, 3.5179 Å; angles 90.00, 90.00, 90.00 degrees
Closest atoms and distances in Å follow each position.
Element x y z (fractional)
Ti1 0.0000 0.5000 0.0000  2 H 2.10
Ti2 0.5000 0.0000 0.0000  2 H 2.10
H1 0.0000 0.0000 0.0000  2 Ru 1.76
Ir1 0.5000 0.5000 0.5000  8 Ti 2.74, 4 Ru 2.97
Ru1 0.0000 0.0000 0.5000  2 H 1.76

---

Which of them is the least stable? Correct choice: version one.

---

Version one
Here is a relaxed HIrRu2W crystal from the Alexandria database. Energies are from PBE.

Its crystal system is tetragonal.

Cell lengths 3.8901, 3.8901, 3.9776 Å; angles 90.00, 90.00, 90.00 degrees
Closest atoms and distances in Å follow each position.
Element x y z (fractional)
H1 0.0000 0.0000 0.0000  4 Ru 1.95, 2 W 1.99
Ir1 0.5000 0.5000 0.5000  4 W 2.75, 8 Ru 2.78
Ru1 0.0000 0.5000 0.0000  2 H 1.95
Ru2 0.5000 0.0000 0.0000  2 H 1.95
W1 0.0000 0.0000 0.5000  2 H 1.99

---

Version two
Here is a relaxed HIrRu2W crystal from the Alexandria database. Energies are from PBE.

Its crystal system is tetragonal.

Cell lengths 3.9306, 3.9306, 3.8935 Å; angles 90.00, 90.00, 90.00 degrees
Closest atoms and distances in Å follow each position.
Element x y z (fractional)
H1 0.0000 0.0000 0.0000  2 Ir 1.95, 4 Ru 1.97
Ir1 0.0000 0.0000 0.5000  2 H 1.95
Ru1 0.0000 0.5000 0.0000  2 H 1.97
Ru2 0.5000 0.0000 0.0000  2 H 1.97
W1 0.5000 0.5000 0.5000  8 Ru 2.77, 4 Ir 2.78

---

Which of them is the least stable? Correct choice: version one.

---

Version one
Here is a relaxed Y2HIrRu crystal from the Alexandria database. Energies are from PBE.

Its crystal system is tetragonal.

Cell lengths 4.8343, 4.8343, 3.5657 Å; angles 90.00, 90.00, 90.00 degrees
Closest atoms and distances in Å follow each position.
Element x y z (fractional)
Y1 0.0000 0.5000 0.0000  2 H 2.42
Y2 0.5000 0.0000 0.0000  2 H 2.42
H1 0.0000 0.0000 0.0000  2 Ru 1.78
Ir1 0.5000 0.5000 0.5000  8 Y 3.00
Ru1 0.0000 0.0000 0.5000  2 H 1.78

---

Version two
Here is a relaxed Y2HIrRu crystal from the Alexandria database. Energies are from PBE.

Its crystal system is tetragonal.

Cell lengths 4.8631, 4.8631, 3.5531 Å; angles 90.00, 90.00, 90.00 degrees
Closest atoms and distances in Å follow each position.
Element x y z (fractional)
Y1 0.0000 0.5000 0.0000  2 H 2.43
Y2 0.5000 0.0000 0.0000  2 H 2.43
H1 0.0000 0.0000 0.0000  2 Ir 1.78
Ir1 0.0000 0.0000 0.5000  2 H 1.78
Ru1 0.5000 0.5000 0.5000  8 Y 3.01

---

Which of them is the least stable? Correct choice: version two.